# PBE Na3In2S4, optimized geometry
# * total magnetization: 0.00 μB per cell
# * formation energy (no corrections): -0.8001 eV/atom
# * mass density: 3.02 g cm⁻³
data_Na3In2S4
_space_group_name_H-M_alt 'C 1 2/c 1'
_space_group_IT_number 15
_cell_length_a 12.5733
_cell_length_b 9.5459
_cell_length_c 7.8360
_cell_angle_alpha 90.00
_cell_angle_beta 91.08
_cell_angle_gamma 90.00
loop_
_space_group_symop_operation_xyz
'x,y,z'
'-x,-y,-z'
'-x,y,-z+1/2'
'x,-y,z+1/2'
'x+1/2,y+1/2,z'
'-x+1/2,-y+1/2,-z'
'-x+1/2,y+1/2,-z+1/2'
'x+1/2,-y+1/2,z+1/2'
loop_
_atom_site_label
_atom_site_type_symbol
_atom_site_fract_x
_atom_site_fract_y
_atom_site_fract_z
Na1 Na 0.0000 0.1090 0.2500
Na2 Na 0.1240 0.3789 0.0524
In1 In 0.1791 0.1264 0.6061
S1 S 0.1168 0.3390 0.4244
S2 S 0.1385 0.0934 0.9290

***

# PBE NaIn6S8, optimized geometry
# * total magnetization: 0.00 μB per cell
# * formation energy (no corrections): -0.4015 eV/atom
# * mass density: 3.66 g cm⁻³
data_NaIn6S8
_space_group_name_H-M_alt 'R -3'
_space_group_IT_number 148
_space_group_name_Hall '-R 3'
_cell_length_a 11.3669
_cell_length_b 11.3669
_cell_length_c 11.7910
_cell_angle_alpha 90.00
_cell_angle_beta 90.00
_cell_angle_gamma 120.00
loop_
_atom_site_label
_atom_site_type_symbol
_atom_site_fract_x
_atom_site_fract_y
_atom_site_fract_z
Na1 Na 0.0000 0.0000 0.0000
In1 In 0.0025 0.1934 0.3616
S1 S 0.0000 0.0000 0.2356
S2 S 0.0143 0.2725 0.5830

***

# PBE NaIn3S4, optimized geometry
# * total magnetization: 0.00 μB per cell
# * formation energy (no corrections): -0.6279 eV/atom
# * mass density: 3.50 g cm⁻³
data_NaIn3S4
_space_group_name_H-M_alt 'P m n 21'
_space_group_IT_number 31
_cell_length_a 8.0721
_cell_length_b 8.8194
_cell_length_c 6.6085
_cell_angle_alpha 90.00
_cell_angle_beta 90.00
_cell_angle_gamma 90.00
loop_
_space_group_symop_operation_xyz
'x,y,z'
'-x+1/2,-y,z+1/2'
'-x,y,z'
'x+1/2,-y,z+1/2'
loop_
_atom_site_label
_atom_site_type_symbol
_atom_site_fract_x
_atom_site_fract_y
_atom_site_fract_z
Na1 Na 0.0000 0.1515 0.0000
In1 In 0.0000 0.8356 0.4780
In2 In 0.2496 0.3616 0.5172
S1 S 0.0000 0.2127 0.4202
S2 S 0.0000 0.7974 0.9247
S3 S 0.2408 0.3718 0.8977